[1]
Computed, not measured: a relaxed RbAsOsO crystal at the GGA-PBE level of DFT.

Unit cell a=3.7523 b=5.9451 c=8.0786 alpha=90.00 beta=90.00 gamma=90.00
Fractional coordinates of all 8 atoms:
Rb  0.0000  0.1458  0.0000
Rb  0.0000  0.8542  0.5000
As  0.5000  0.3471  0.6575
As  0.5000  0.6529  0.1575
Os  0.5000  0.3531  0.3530
Os  0.5000  0.6469  0.8530
O  0.0000  0.3190  0.3484
O  0.0000  0.6810  0.8484

- final energy (eV/cell) = -46.55
- total magnetic moment (μB per cell) = 0.010

[2]
Computed, not measured: a relaxed KFe3 crystal at the GGA-PBE level of DFT.

Unit cell a=7.1371 b=7.1371 c=4.1063 alpha=90.00 beta=90.00 gamma=120.00
Fractional coordinates of all 8 atoms:
K  0.3333  0.6667  0.2500
K  0.6667  0.3333  0.7500
Fe  0.1101  0.2202  0.7500
Fe  0.1101  0.8899  0.7500
Fe  0.2202  0.1101  0.2500
Fe  0.7798  0.8899  0.7500
Fe  0.8899  0.1101  0.2500
Fe  0.8899  0.7798  0.2500

- final energy (eV/cell) = -45.84
- total magnetic moment (μB per cell) = 16.145

[3]
Computed, not measured: a relaxed GdDyGe2Pt crystal at the GGA-PBE level of DFT.

Unit cell a=5.6938 b=5.6938 c=10.4415 alpha=115.12 beta=115.12 gamma=45.06
Fractional coordinates of all 10 atoms:
Gd  0.1893  0.1893  0.1144
Gd  0.8107  0.8107  0.8856
Dy  0.0099  0.0099  0.3297
Dy  0.9901  0.9901  0.6703
Ge  0.3556  0.3556  0.4479
Ge  0.4765  0.4765  0.1141
Ge  0.5235  0.5235  0.8859
Ge  0.6444  0.6444  0.5521
Pt  0.2722  0.2722  0.6640
Pt  0.7278  0.7278  0.3360

- final energy (eV/cell) = -59.25
- total magnetic moment (μB per cell) = 0.277

[4]
Computed, not measured: a relaxed Ga5CoPt crystal at the GGA-PBE level of DFT.

Unit cell a=4.3854 b=4.3854 c=5.7739 alpha=90.00 beta=90.00 gamma=90.00
Fractional coordinates of all 7 atoms:
Ga  0.0000  0.0000  0.0000
Ga  0.0000  0.5000  0.2570
Ga  0.0000  0.5000  0.7430
Ga  0.5000  0.0000  0.2570
Ga  0.5000  0.0000  0.7430
Co  0.5000  0.5000  0.0000
Pt  0.5000  0.5000  0.5000

- final energy (eV/cell) = -29.55
- total magnetic moment (μB per cell) = 0.040

[5]
Computed, not measured: a relaxed PrYRe crystal at the GGA-PBE level of DFT.

Unit cell a=4.8498 b=4.8498 c=4.8498 alpha=60.00 beta=60.00 gamma=60.00
Fractional coordinates of all 3 atoms:
Pr  0.0000  0.0000  0.0000
Y  0.2500  0.2500  0.2500
Re  0.5000  0.5000  0.5000

- energy of formation from the pure elements (eV per atom) = 1.18
- final energy (eV/cell) = -20.12
- total magnetic moment (μB per cell) = 0.072

[6]
Computed, not measured: a relaxed KAgPdS3 crystal at the GGA-PBE level of DFT.

Unit cell a=7.4286 b=7.4286 c=10.1970 alpha=90.00 beta=90.00 gamma=150.83
Fractional coordinates of all 12 atoms:
K  0.2312  0.7688  0.7500
K  0.7688  0.2312  0.2500
Ag  0.0716  0.9284  0.2500
Ag  0.9284  0.0716  0.7500
Pd  0.5000  0.5000  0.0000
Pd  0.5000  0.5000  0.5000
S  0.1091  0.8909  0.0181
S  0.1091  0.8909  0.4819
S  0.4500  0.5500  0.2500
S  0.5500  0.4500  0.7500
S  0.8909  0.1091  0.5181
S  0.8909  0.1091  0.9819

- final energy (eV/cell) = -46.44

[7]
Computed, not measured: a relaxed Nd2Al5Au3 crystal at the GGA-PBE level of DFT.

Unit cell a=8.7069 b=8.7069 c=8.7069 alpha=103.64 beta=91.07 gamma=138.20
Fractional coordinates of all 20 atoms:
Nd  0.1299  0.2387  0.3686
Nd  0.3701  0.7387  0.1088
Nd  0.6299  0.2613  0.8912
Nd  0.8701  0.7613  0.6314
Al  0.0117  0.7500  0.2617
Al  0.1125  0.6460  0.7585
Al  0.2500  0.2500  0.0000
Al  0.3875  0.1460  0.5335
Al  0.4883  0.7500  0.7383
Al  0.5117  0.2500  0.2617
Al  0.6125  0.8540  0.4665
Al  0.7500  0.7500  0.0000
Al  0.8875  0.3540  0.2415
Al  0.9883  0.2500  0.7383
Au  0.1305  0.8774  0.0079
Au  0.2500  0.7500  0.5000
Au  0.3695  0.3774  0.7470
Au  0.6305  0.6226  0.2530
Au  0.7500  0.2500  0.5000
Au  0.8695  0.1226  0.9921

- final energy (eV/cell) = -90.12
- total magnetic moment (μB per cell) = 0.015

[8]
Computed, not measured: a relaxed NbAlIn crystal at the GGA-PBE level of DFT.

Unit cell a=4.5943 b=4.5943 c=4.5943 alpha=60.00 beta=60.00 gamma=60.00
Fractional coordinates of all 3 atoms:
Nb  0.0000  0.0000  0.0000
Al  0.7500  0.7500  0.7500
In  0.2500  0.2500  0.2500

- final energy (eV/cell) = -14.89
- total magnetic moment (μB per cell) = 0.157